Si3NiS | PBE-GGA | optimized geometry

Summary:
As for the space group: No. 221. The calculation puts the excess energy over the best structure of this formula in the dataset at 0.0 meV per atom. For the final energy, the calculation gives -0.35811 Ry per atom. As for the total magnetization: 0.0 μB/cell. The uncorrected formation energy comes out at 175.2 kJ/mol of formula units.

Cell lengths 4.397, 4.397, 4.397 Å; angles 90.00, 90.00, 90.00 degrees
Positions (direct):
Ni (0.000, 0.000, 0.000)
S (0.500, 0.500, 0.500)
Si (0.000, 0.500, 0.000)
Si (0.000, 0.000, 0.500)
Si (0.500, 0.000, 0.000)